Entry from the Alexandria database: a PBEsol-optimized structure of TlCdIr2 (SCAN).

POSCAR file:
```
TlCdIr2
1.0
-2.5117 3.3139 1.9449
-2.5308 -0.9205 3.7176
1.2171 1.7046 4.0848
Ir Tl Cd
2 1 1
Direct
0.7500 0.7500 0.7500
0.0000 0.0000 0.0000
0.2500 0.2500 0.2500
0.5000 0.5000 0.5000
```

- magnetic moment (μB/atom) = 0.176
- density (g/cm³) = 17.02
- calculated formation energy (eV/atom) = 0.686